Entry 1:
Density functional theory data (PBE-GGA) for crystalline La3Tb6Y2Tm at its relaxed geometry.

Summary:
space-group type = C2/m
energy of formation = 2.2 kJ/mol of atoms

Cell: 6.246 6.246 11.936 Å, 95.01 95.01 120.03°
Positions (direct):
La (0.000, 0.000, 0.000)
La (0.333, 0.667, 0.000)
La (0.667, 0.333, 0.000)
Tb (0.087, 0.419, 0.256)
Tb (0.249, 0.249, 0.744)
Tb (0.419, 0.087, 0.256)
Tb (0.581, 0.913, 0.744)
Tb (0.751, 0.751, 0.256)
Tb (0.913, 0.581, 0.744)
Y (0.167, 0.833, 0.500)
Y (0.833, 0.167, 0.500)
Tm (0.500, 0.500, 0.500)


Entry 2:
Density functional theory data (PBE-GGA) for crystalline Sm4TmTh at its relaxed geometry.

Summary:
space-group type = C2/m
energy of formation = 3.4 kJ/mol of atoms
offset from the most stable computed form = 0.000 eV/atom

Cell: 6.238 6.238 10.167 Å, 113.98 113.98 33.43°
Positions (direct):
Sm (0.163, 0.163, 0.330)
Sm (0.165, 0.165, 0.836)
Sm (0.835, 0.835, 0.164)
Sm (0.837, 0.837, 0.670)
Tm (0.500, 0.500, 0.500)
Th (0.500, 0.500, 0.000)


The lowest energy of formation belongs to which entry?
La3Tb6Y2Tm


energy of formation of number 2 (Sm4TmTh)?
3.4 kJ/mol of atoms


What is the energy of formation in the second record?
3.4 kJ/mol of atoms